# YRu2Br, optimized geometry, DFT PBE
# energy above the most stable polymorph in this dataset	229	kJ/mol of formula units
# symmetry	P4/mmm
# calculated volume	73	Å³/cell
data_YRu2Br
_space_group_name_H-M_alt 'P 1'
_space_group_IT_number 1
_cell_length_a 3.366
_cell_length_b 3.366
_cell_length_c 6.451
_cell_angle_alpha 90.00
_cell_angle_beta 90.00
_cell_angle_gamma 90.00
loop_
_space_group_symop_operation_xyz
'x,y,z'
loop_
_atom_site_label
_atom_site_fract_x
_atom_site_fract_y
_atom_site_fract_z
_atom_site_occupancy
Y1 0.500 0.500 0.250 1
Ru1 0.000 0.000 0.985 1
Ru2 0.000 0.000 0.515 1
Br1 0.500 0.500 0.750 1